(1)
Computed, not measured: a relaxed structure of Li3PdW at the GGA-PBE level of DFT.

As for the total magnetic moment: 0.0 μB/f.u. For the density, the calculation gives 6.6 g/cm³. Its formation enthalpy at 0 K is 1.105 eV per atom. As for the density of states at the Fermi level: 3.98 states/eV/cell. As for the energy: -0.2699 Ry per atom.

The space group is Pm-3m (No. 221) and the conventional cell measures 4.2811, 4.2811 and 4.2811 Å, with angles of 90.00, 90.00 and 90.00 degrees. The asymmetric unit holds Li at (0.0000, 0.0000, 0.5000), Pd at (0.0000, 0.0000, 0.0000) and W at (0.5000, 0.5000, 0.5000).



(2)
Computed, not measured: a relaxed structure of Li2PdW at the GGA-PBE level of DFT.

As for the total magnetic moment: 0.2 μB/f.u. For the density, the calculation gives 9.5 g/cm³. Its formation enthalpy at 0 K is 0.681 eV per atom. As for the density of states at the Fermi level: 14.26 states/eV/cell. As for the energy: -0.3537 Ry per atom.

The space group is Fm-3m (No. 225) and the conventional cell measures 5.9736, 5.9736 and 5.9736 Å, with angles of 90.00, 90.00 and 90.00 degrees. The asymmetric unit holds Li at (0.2500, 0.2500, 0.2500), Pd at (0.0000, 0.0000, 0.0000) and W at (0.0000, 0.0000, 0.5000).



(3)
Computed, not measured: a relaxed structure of LiPd3W at the GGA-PBE level of DFT.

As for the total magnetic moment: 3.0 μB/f.u. For the density, the calculation gives 11.3 g/cm³. Its formation enthalpy at 0 K is 0.639 eV per atom. As for the density of states at the Fermi level: 4.45 states/eV/cell. As for the energy: -0.4006 Ry per atom.

The space group is Pm-3m (No. 221) and the conventional cell measures 4.2139, 4.2139 and 4.2139 Å, with angles of 90.00, 90.00 and 90.00 degrees. The asymmetric unit holds Li at (0.0000, 0.0000, 0.0000), Pd at (0.0000, 0.0000, 0.5000) and W at (0.5000, 0.5000, 0.5000).



(4)
Computed, not measured: a relaxed structure of Li2PdW at the GGA-PBE level of DFT.

As for the total magnetic moment: 0.1 μB/f.u. For the density, the calculation gives 8.6 g/cm³. Its formation enthalpy at 0 K is 0.765 eV per atom. As for the density of states at the Fermi level: 9.59 states/eV/cell. As for the energy: -0.3476 Ry per atom.

The space group is I-42d (No. 122) and the conventional cell measures 6.7692, 6.7692 and 5.1181 Å, with angles of 90.00, 90.00 and 90.00 degrees. The asymmetric unit holds Li at (0.2262, 0.7500, 0.1250), Pd at (0.0000, 0.0000, 0.0000) and W at (0.0000, 0.0000, 0.5000).



(5)
Computed, not measured: a relaxed structure of Li2Pd2W at the GGA-PBE level of DFT.

As for the total magnetic moment: 0.0 μB/f.u. For the density, the calculation gives 9.9 g/cm³. Its formation enthalpy at 0 K is 0.389 eV per atom. As for the density of states at the Fermi level: 5.82 states/eV/cell. As for the energy: -0.3707 Ry per atom.

The space group is I4/mmm (No. 139) and the conventional cell measures 4.3007, 4.3007 and 7.4808 Å, with angles of 90.00, 90.00 and 90.00 degrees. The asymmetric unit holds Li at (0.0000, 0.0000, 0.1233), Pd at (0.0000, 0.5000, 0.2500) and W at (0.0000, 0.0000, 0.5000).



(6)
Computed, not measured: a relaxed structure of LiZnPdW2 at the GGA-PBE level of DFT.

As for the total magnetic moment: 0.0 μB/f.u. For the density, the calculation gives 8.3 g/cm³. Its formation enthalpy at 0 K is 1.723 eV per atom. As for the density of states at the Fermi level: 5.82 states/eV/cell. As for the energy: -0.3773 Ry per atom.

The space group is P4/mmm (No. 123) and the conventional cell measures 4.8083, 4.8083 and 4.7255 Å, with angles of 90.00, 90.00 and 90.00 degrees. The asymmetric unit holds Li at (0.0000, 0.0000, 0.0000), Zn at (0.5000, 0.5000, 0.0000), Pd at (0.5000, 0.5000, 0.5000) and W at (0.0000, 0.5000, 0.5000).



Which of these has the highest formation enthalpy at 0 K? LiZnPdW2



energy of number 2 (Li2PdW)? -0.3537 Ry per atom